# La2Pm6Ho3In PBE relaxed
# total DFT energy (no corrections) = -111.14 eV per cell
# calculated formation energy = -1.42 kcal/mol of atoms
data_La2Pm6Ho3In
_chemical_formula_sum 'La4 Pm12 Ho6 In2'
_cell_length_a 6.201
_cell_length_b 10.750
_cell_length_c 11.928
_cell_angle_alpha 90.00
_cell_angle_beta 100.01
_cell_angle_gamma 90.00
_space_group_name_H-M_alt 'C 1 2/m 1'
_space_group_IT_number 12
loop_
_space_group_symop_operation_xyz
'x,y,z'
'-x,-y,-z'
'-x,y,-z'
'x,-y,z'
'x+1/2,y+1/2,z'
'-x+1/2,-y+1/2,-z'
'-x+1/2,y+1/2,-z'
'x+1/2,-y+1/2,z'
loop_
_atom_site_label
_atom_site_type_symbol
_atom_site_fract_x
_atom_site_fract_y
_atom_site_fract_z
La1 La 0.000 0.166 0.000
Pm1 Pm 0.241 0.500 0.747
Pm2 Pm 0.246 0.338 0.252
Ho1 Ho 0.000 0.000 0.500
Ho2 Ho 0.000 0.333 0.500
In1 In 0.000 0.500 0.000



# La5Pr4Ho2 PBE relaxed
# total DFT energy (no corrections) = -103.94 eV per cell
# calculated formation energy = 1.98 kcal/mol of atoms
# polymorph energy (0 for the lowest one) = 13 meV/atom
data_La5Pr4Ho2
_chemical_formula_sum 'La10 Pr8 Ho4'
_cell_length_a 24.737
_cell_length_b 3.622
_cell_length_c 8.923
_cell_angle_alpha 90.00
_cell_angle_beta 94.53
_cell_angle_gamma 90.00
_space_group_name_H-M_alt 'C 1 2/m 1'
_space_group_IT_number 12
loop_
_space_group_symop_operation_xyz
'x,y,z'
'-x,-y,-z'
'-x,y,-z'
'x,-y,z'
'x+1/2,y+1/2,z'
'-x+1/2,-y+1/2,-z'
'-x+1/2,y+1/2,-z'
'x+1/2,-y+1/2,z'
loop_
_atom_site_label
_atom_site_type_symbol
_atom_site_fract_x
_atom_site_fract_y
_atom_site_fract_z
La1 La 0.000 0.000 0.000
La2 La 0.131 0.500 0.048
La3 La 0.182 0.500 0.476
Pr1 Pr 0.040 0.500 0.347
Pr2 Pr 0.227 0.000 0.825
Ho1 Ho 0.087 0.000 0.697



# Dy2HoGa2Rh5 PBE relaxed
# total DFT energy (no corrections) = -130.09 eV per cell
# calculated formation energy = -19.49 kcal/mol of atoms
data_Dy2HoGa2Rh5
_chemical_formula_sum 'Dy4 Ho2 Ga4 Rh10'
_cell_length_a 10.013
_cell_length_b 10.013
_cell_length_c 3.596
_cell_angle_alpha 90.00
_cell_angle_beta 90.00
_cell_angle_gamma 90.00
_space_group_name_H-M_alt 'P 4/m b m'
_space_group_IT_number 127
_space_group_name_Hall '-P 4 2ab'
loop_
_atom_site_label
_atom_site_type_symbol
_atom_site_fract_x
_atom_site_fract_y
_atom_site_fract_z
Dy1 Dy 0.173 0.327 0.000
Ho1 Ho 0.000 0.000 0.000
Ga1 Ga 0.123 0.623 0.000
Rh1 Rh 0.000 0.500 0.500
Rh2 Rh 0.071 0.788 0.500



# Y2SiTe PBE relaxed
# total DFT energy (no corrections) = -24.74 eV per cell
# raw formation energy = -0.811 eV/atom
# polymorph energy (0 for the lowest one) = 311 meV/atom
data_Y2SiTe
_chemical_formula_sum 'Y2 Si1 Te1'
_cell_length_a 3.737
_cell_length_b 3.714
_cell_length_c 7.523
_cell_angle_alpha 90.00
_cell_angle_beta 100.20
_cell_angle_gamma 90.00
_space_group_name_H-M_alt 'P 1 2/m 1'
_space_group_IT_number 10
loop_
_space_group_symop_operation_xyz
'x,y,z'
'-x,-y,-z'
'-x,y,-z'
'x,-y,z'
loop_
_atom_site_label
_atom_site_type_symbol
_atom_site_fract_x
_atom_site_fract_y
_atom_site_fract_z
Y1 Y 0.058 0.000 0.268
Si1 Si 0.500 0.500 0.500
Te1 Te 0.500 0.500 0.000



# TlFe2CuI8 PBE relaxed
# total DFT energy (no corrections) = -76.66 eV per cell
# raw formation energy = -0.212 eV/atom
data_TlFe2CuI8
_chemical_formula_sum 'Tl2 Fe4 Cu2 I16'
_cell_length_a 11.740
_cell_length_b 8.320
_cell_length_c 10.133
_cell_angle_alpha 90.00
_cell_angle_beta 95.28
_cell_angle_gamma 90.00
_space_group_name_H-M_alt 'C 1 2/m 1'
_space_group_IT_number 12
loop_
_space_group_symop_operation_xyz
'x,y,z'
'-x,-y,-z'
'-x,y,-z'
'x,-y,z'
'x+1/2,y+1/2,z'
'-x+1/2,-y+1/2,-z'
'-x+1/2,y+1/2,-z'
'x+1/2,-y+1/2,z'
loop_
_atom_site_label
_atom_site_type_symbol
_atom_site_fract_x
_atom_site_fract_y
_atom_site_fract_z
Tl1 Tl 0.000 0.000 0.000
Fe1 Fe 0.126 0.500 0.276
Cu1 Cu 0.000 0.000 0.500
I1 I 0.003 0.250 0.712
I2 I 0.208 0.500 0.052
I3 I 0.230 0.000 0.516



# ZrTc3Pt PBE relaxed
# total DFT energy (no corrections) = -38.25 eV per cell
# calculated formation energy = 34.29 kcal/mol of atoms
# polymorph energy (0 for the lowest one) = 0 meV/atom
data_ZrTc3Pt
_chemical_formula_sum 'Zr1 Tc3 Pt1'
_cell_length_a 4.719
_cell_length_b 4.719
_cell_length_c 4.719
_cell_angle_alpha 90.00
_cell_angle_beta 90.00
_cell_angle_gamma 90.00
_space_group_name_H-M_alt 'P m -3 m'
_space_group_IT_number 221
_space_group_name_Hall '-P 4 2 3'
loop_
_atom_site_label
_atom_site_type_symbol
_atom_site_fract_x
_atom_site_fract_y
_atom_site_fract_z
Zr1 Zr 0.000 0.000 0.000
Tc1 Tc 0.000 0.500 0.500
Pt1 Pt 0.500 0.500 0.500